Record 1
The following is a DFT calculation (PBE) of an optimized crystal structure of NaAc2Sn6.

calculated total energy: -4.136 eV/atom
symmetry: C2/m, No. 12

```
9
Lattice="6.097 -3.483 0.000 6.097 3.483 0.000 -0.112 0.000 6.371" Properties=species:S:1:pos:R:3 pbc="T T T"
Na 0.000 0.000 0.000
Ac 4.080 0.000 1.105
Ac 8.001 0.000 5.266
Sn 2.171 0.000 4.322
Sn 4.850 1.534 4.293
Sn 7.232 1.534 2.078
Sn 4.850 -1.534 4.293
Sn 7.232 -1.534 2.078
Sn 9.910 0.000 2.049
```

***

Record 2
The following is a DFT calculation (PBE) of an optimized crystal structure of RbS.

calculated total energy: -3.379 eV/atom
symmetry: I-4m2, No. 119
raw formation energy: -1.66 eV per formula unit

```
4
Lattice="-2.339 2.339 6.745 2.339 -2.339 6.745 2.339 2.339 -6.745" Properties=species:S:1:pos:R:3 pbc="T T T"
Rb 0.000 0.000 0.000
Rb 0.000 2.339 3.373
S 0.000 0.000 5.683
S 0.000 0.000 7.808
```

***

Record 3
The following is a DFT calculation (PBE) of an optimized crystal structure of Pr3SmBi2.

calculated total energy: -5.131 eV/atom
symmetry: P-4m2, No. 115
excess energy over the best structure of this formula in the dataset: 0.000 eV/atom

```
6
Lattice="4.686 0.000 0.000 0.000 4.686 0.000 0.000 0.000 9.069" Properties=species:S:1:pos:R:3 pbc="T T T"
Pr 0.000 0.000 0.000
Pr 0.000 2.343 5.863
Pr 2.343 0.000 3.206
Sm 2.343 2.343 0.000
Bi 0.000 2.343 2.528
Bi 2.343 0.000 6.541
```

***

Record 4
The following is a DFT calculation (PBE) of an optimized crystal structure of RbTi2Ge.

calculated total energy: -4.578 eV/atom
symmetry: I4_1/amd, No. 141

```
8
Lattice="-2.530 2.530 9.372 2.530 -2.530 9.372 2.530 2.530 -9.372" Properties=species:S:1:pos:R:3 pbc="T T T"
Rb 2.530 1.265 2.343
Rb 0.000 1.265 7.029
Ti 0.000 0.000 0.000
Ti 1.265 1.265 -4.686
Ti 1.265 -1.265 4.686
Ti 0.000 2.530 0.000
Ge 2.530 -1.265 7.029
Ge 0.000 3.795 2.343
```

***

Record 5
The following is a DFT calculation (PBE) of an optimized crystal structure of La2HfAg2.

calculated total energy: -5.059 eV/atom
symmetry: P4/mbm, No. 127

```
10
Lattice="8.388 0.000 0.000 0.000 8.388 0.000 0.000 0.000 3.854" Properties=species:S:1:pos:R:3 pbc="T T T"
La 1.516 2.678 0.000
La 2.678 6.872 0.000
La 5.710 1.516 0.000
La 6.872 5.710 0.000
Hf 0.000 0.000 1.927
Hf 4.194 4.194 1.927
Ag 1.022 5.216 1.927
Ag 3.172 1.022 1.927
Ag 5.216 7.366 1.927
Ag 7.366 3.172 1.927
```

***

Record 6
The following is a DFT calculation (PBE) of an optimized crystal structure of Sc2AgSb.

calculated total energy: -4.803 eV/atom
symmetry: R-3m, No. 166
raw formation energy: 0.42 eV per formula unit

```
4
Lattice="1.856 1.071 9.371 -1.856 1.071 9.371 0.000 -2.143 9.371" Properties=species:S:1:pos:R:3 pbc="T T T"
Sc 0.000 0.000 2.827
Sc 0.000 0.000 25.287
Ag 0.000 0.000 0.000
Sb 0.000 0.000 14.057
```

***

| no. | spin magnetization (μB per formula unit) |
| --- | --- |
| 1 | 0.00 |
| 2 | 0.00 |
| 3 | 0.00 |
| 4 | 1.21 |
| 5 | 0.00 |
| 6 | 0.00 |